No. 1
Below is a relaxed structure of Pr2Ho6In, with properties calculated at the PBE-GGA level.

Calculated values
Density of states at the Fermi level ... 9.8 states/eV/f.u.
Total moment ... 0.0 μB per formula unit
Formation energy from the elements ... -20 meV per atom
E_tot ... -4.438 eV/atom

abc: 3.5056 10.1977 15.9391
angles: 90.00 90.00 90.00
Closest atoms and distances in Å follow each position.
Space group Immm (No. 71)
Symmetry-distinct sites (fractional):
Pr (0.0000, 0.0000, 0.1506)  10 Ho 3.48-3.65, 2 Pr 3.51
Ho (0.0000, 0.2917, 0.5000)  2 In 3.45, 6 Ho 3.51-3.58, 4 Pr 3.65
Ho (0.0000, 0.3383, 0.1771)  1 In 3.27, 7 Ho 3.30-3.58, 3 Pr 3.48-3.65
In (0.0000, 0.5000, 0.0000)  8 Ho 3.27-3.45, 2 In 3.51

***

No. 2
Below is a relaxed structure of Pr3Ho5In, with properties calculated at the PBE-GGA level.

Calculated values
Density of states at the Fermi level ... 12.9 states/eV/f.u.
Total moment ... 0.0 μB per formula unit
Formation energy from the elements ... 390 meV per atom
E_tot ... -4.050 eV/atom

abc: 13.3997 7.9709 11.7040
angles: 90.00 95.23 90.00
Closest atoms and distances in Å follow each position.
Space group C2/m (No. 12)
Symmetry-distinct sites (fractional):
Pr (0.0000, 0.0000, 0.0000)  2 Ho 2.64
Pr (0.0000, 0.0000, 0.5000)  2 In 3.29, 2 Pr 3.60
Pr (0.1569, 0.5000, 0.2161)  1 Ho 2.93
Pr (0.2342, 0.5000, 0.5262)  1 In 3.24, 2 Ho 3.41-3.54, 1 Pr 3.60
Ho (0.0000, 0.3317, 0.0000)  1 Pr 2.64, 1 Ho 2.68
Ho (0.0046, 0.5000, 0.6310)  1 Pr 2.93, 3 Ho 3.06-3.18
Ho (0.1265, 0.2080, 0.7654)  3 Ho 3.18-3.50, 1 Pr 3.33, 1 In 3.45
Ho (0.2440, 0.0000, 0.0330)  2 Pr 3.26-3.31, 1 In 3.36, 2 Ho 3.64
In (0.1001, 0.0000, 0.2538)  3 Pr 3.15-3.29, 3 Ho 3.36-3.45

***

No. 3
Below is a relaxed structure of Pr3Ho3In5, with properties calculated at the PBE-GGA level.

Calculated values
Density of states at the Fermi level ... 10.6 states/eV/f.u.
Total moment ... 0.0 μB per formula unit
Formation energy from the elements ... 178 meV per atom
E_tot ... -3.619 eV/atom

abc: 9.0697 9.0697 5.7661
angles: 90.00 90.00 120.00
Closest atoms and distances in Å follow each position.
Space group P-62m (No. 189)
Symmetry-distinct sites (fractional):
Pr (0.0000, 0.4704, 0.0000)  2 In 3.06
Ho (0.0000, 0.7257, 0.5000)  2 In 2.94
In (0.0000, 0.3574, 0.5000)  2 In 2.92, 2 Ho 2.94, 2 Pr 3.06
In (0.3333, 0.6667, 0.5000)  3 In 2.92